(1)
DFT (GGA-PBE) results for crystalline SrScAs2 at its relaxed geometry.

Energy above the most stable polymorph in this dataset (eV per atom): 0.267
Spin magnetization (μB per formula unit): 0.01
Symmetry: No. 99

```
4
Lattice="3.8718 0.0000 0.0000 0.0000 3.8718 0.0000 0.0000 0.0000 7.5996" Properties=species:S:1:pos:R:3 pbc="T T T"
Sr 0.0000 0.0000 0.0000
Sc 1.9359 1.9359 4.0252
As 0.0000 0.0000 4.4597
As 1.9359 1.9359 1.3726
```


(2)
DFT (GGA-PBE) results for crystalline LaHg2Mo at its relaxed geometry.

Energy above the most stable polymorph in this dataset (eV per atom): 0.057
Spin magnetization (μB per formula unit): 0.00
Symmetry: No. 44

```
4
Lattice="-1.5753 2.4508 6.5658 1.5753 -2.4508 6.5658 1.5753 2.4508 -6.5658" Properties=species:S:1:pos:R:3 pbc="T T T"
La 0.0000 0.0000 0.0000
Hg 0.0000 0.0000 4.8765
Hg 0.0000 2.4508 2.4962
Mo 1.5753 0.0000 2.4906
```


(3)
DFT (GGA-PBE) results for crystalline HoErTcAu at its relaxed geometry.

Spin magnetization (μB per formula unit): 0.00
Symmetry: No. 216

```
4
Lattice="0.0000 3.4791 3.4791 3.4791 0.0000 3.4791 3.4791 3.4791 0.0000" Properties=species:S:1:pos:R:3 pbc="T T T"
Ho 0.0000 0.0000 0.0000
Er 3.4791 3.4791 3.4791
Tc 1.7395 1.7395 1.7395
Au 5.2186 5.2186 5.2186
```


(4)
DFT (GGA-PBE) results for crystalline NbGa2Au2 at its relaxed geometry.

Energy above the most stable polymorph in this dataset (eV per atom): 0.096
Spin magnetization (μB per formula unit): 0.00
Symmetry: No. 127

```
10
Lattice="7.6275 0.0000 0.0000 0.0000 7.6275 0.0000 0.0000 0.0000 3.0369" Properties=species:S:1:pos:R:3 pbc="T T T"
Nb 0.0000 0.0000 0.0000
Nb 3.8138 3.8138 0.0000
Ga 1.3263 2.4875 1.5184
Ga 2.4875 6.3013 1.5184
Ga 5.1400 1.3263 1.5184
Ga 6.3013 5.1400 1.5184
Au 0.9911 4.8049 0.0000
Au 2.8227 0.9911 0.0000
Au 4.8049 6.6365 0.0000
Au 6.6365 2.8227 0.0000
```


Number 1: VASP energy -0.189 hartree per atom, formation energy -0.823 eV per atom, mass density 4.12 Mg/m³. Number 2: VASP energy -0.139 hartree per atom, formation energy 0.299 eV per atom, mass density 10.42 Mg/m³. Number 3: VASP energy -0.224 hartree per atom, formation energy -0.391 eV per atom, mass density 12.37 Mg/m³. Number 4: VASP energy -0.165 hartree per atom, formation energy 0.035 eV per atom, mass density 11.77 Mg/m³.